Below is an optimized crystal structure of Mg5Pd2Pt, with properties calculated at the GGA-PBE level.

The structure in CIF format:
```
data_Mg5Pd2Pt
_chemical_formula_sum 'Mg10 Pd4 Pt2'
_cell_length_a 5.635
_cell_length_b 11.186
_cell_length_c 4.390
_cell_angle_alpha 90.00
_cell_angle_beta 90.00
_cell_angle_gamma 90.00
_symmetry_space_group_name_H-M 'P b a m'
_symmetry_Int_Tables_number 55
_symmetry_space_group_name_Hall '-P 2 2ab'
loop_
_atom_site_label
_atom_site_fract_x
_atom_site_fract_y
_atom_site_fract_z
Mg1 0.000 0.000 0.000
Mg2 0.099 0.266 0.000
Mg3 0.180 0.606 0.500
Pd1 0.171 0.860 0.500
Pt1 0.000 0.500 0.000
```

Computed properties:
- DFT total energy (eV/atom) = -3.676
- E_form (eV/atom) = -0.626